Arrangement i

## La4In2Cl (PBE)

Data for a geometry-optimized La4In2Cl structure.

abc: 5.3973 5.3973 16.6060
angles: 90.00 90.00 90.00
Closest atoms and distances in Å follow each position.
Fractional positions:
La 0.0000 0.0000 0.1753  1 Cl 2.91
La 0.0000 0.0000 0.8247  1 Cl 2.91
La 0.0000 0.5000 0.0000  2 Cl 2.70
La 0.0000 0.5000 0.5000  2 Cl 2.70
La 0.5000 0.0000 0.0000  2 Cl 2.70
La 0.5000 0.0000 0.5000  2 Cl 2.70
La 0.5000 0.5000 0.3247  1 Cl 2.91
La 0.5000 0.5000 0.6753  1 Cl 2.91
In 0.0000 0.0000 0.3726  5 La 3.28-3.43
In 0.0000 0.0000 0.6274  5 La 3.28-3.43
In 0.5000 0.5000 0.1274  5 La 3.28-3.43
In 0.5000 0.5000 0.8726  5 La 3.28-3.43
Cl 0.0000 0.0000 0.0000  6 La 2.70-2.91
Cl 0.5000 0.5000 0.5000  6 La 2.70-2.91

- SG: I4/mmm (139)
- D(E_F): 0.97 states/eV/atom

---

Arrangement ii

## La4In2Cl (PBE)

Data for a geometry-optimized La4In2Cl structure.

abc: 12.6468 4.5875 9.2493
angles: 90.00 123.37 90.00
Closest atoms and distances in Å follow each position.
Fractional positions:
La 0.0837 0.0000 0.3652  1 Cl 2.93
La 0.1707 0.5000 0.0766  2 Cl 2.96, 2 In 3.28
La 0.3293 0.0000 0.9234  2 Cl 2.96, 2 In 3.28
La 0.4163 0.5000 0.6348  1 Cl 2.93
La 0.5837 0.5000 0.3652  1 Cl 2.93
La 0.6707 0.0000 0.0766  2 Cl 2.96, 2 In 3.28
La 0.8293 0.5000 0.9234  2 Cl 2.96, 2 In 3.28
La 0.9163 0.0000 0.6348  1 Cl 2.93
In 0.1289 0.5000 0.6654  1 In 3.00, 2 La 3.28
In 0.3711 0.0000 0.3346  1 In 3.00, 2 La 3.28
In 0.6289 0.0000 0.6654  1 In 3.00, 2 La 3.28
In 0.8711 0.5000 0.3346  1 In 3.00, 2 La 3.28
Cl 0.0000 0.0000 0.0000  6 La 2.93-2.96
Cl 0.5000 0.5000 0.0000  6 La 2.93-2.96

- SG: C2/m (12)
- D(E_F): 1.11 states/eV/atom

---

Which is most stable? The ranking, best first, is arrangement ii, arrangement i.

---

Arrangement i

## LiIn2Cl (PBE)

Data for a geometry-optimized LiIn2Cl structure.

abc: 3.9026 5.6520 8.6112
angles: 90.00 90.00 90.00
Closest atoms and distances in Å follow each position.
Fractional positions:
Li 0.0000 0.0000 0.0000  4 In 2.83
Li 0.5000 0.5000 0.0000  4 In 2.83
In 0.0000 0.5000 0.2383  2 Li 2.83, 2 Cl 2.98
In 0.0000 0.5000 0.7617  2 Li 2.83, 2 Cl 2.98
In 0.5000 0.0000 0.2383  2 Li 2.83, 2 Cl 2.98
In 0.5000 0.0000 0.7617  2 Li 2.83, 2 Cl 2.98
Cl 0.0000 0.0000 0.5000  4 In 2.98
Cl 0.5000 0.5000 0.5000  4 In 2.98

- SG: Cmmm (65)
- D(E_F): 0.30 states/eV/atom

---

Arrangement ii

## LiIn2Cl (PBE)

Data for a geometry-optimized LiIn2Cl structure.

abc: 6.2679 9.1574 3.4186
angles: 90.00 90.00 90.00
Closest atoms and distances in Å follow each position.
Fractional positions:
Li 0.0000 0.0000 0.0000  2 Cl 3.13, 8 In 3.26, 2 Li 3.42
Li 0.5000 0.5000 0.0000  2 Cl 3.13, 8 In 3.26, 2 Li 3.42
In 0.2500 0.2500 0.5000  4 In 3.13-3.42, 4 Li 3.26, 4 Cl 3.26
In 0.2500 0.7500 0.5000  4 In 3.13-3.42, 4 Li 3.26, 4 Cl 3.26
In 0.7500 0.2500 0.5000  4 In 3.13-3.42, 4 Li 3.26, 4 Cl 3.26
In 0.7500 0.7500 0.5000  4 In 3.13-3.42, 4 Cl 3.26, 4 Li 3.26
Cl 0.0000 0.5000 0.0000  2 Li 3.13, 8 In 3.26, 2 Cl 3.42
Cl 0.5000 0.0000 0.0000  2 Li 3.13, 8 In 3.26, 2 Cl 3.42

- SG: Cmmm (65)
- D(E_F): 0.35 states/eV/atom

---

Arrangement iii

## LiIn2Cl (PBE)

Data for a geometry-optimized LiIn2Cl structure.

abc: 4.1469 4.1588 12.4402
angles: 90.00 90.00 90.00
Closest atoms and distances in Å follow each position.
Fractional positions:
Li 0.0000 0.0000 0.0000  4 Cl 2.94
Li 0.5000 0.5000 0.5000  4 Cl 2.94
In 0.0000 0.5000 0.2508  4 In 2.94
In 0.0000 0.5000 0.7492  4 In 2.94
In 0.5000 0.0000 0.2492  4 In 2.94
In 0.5000 0.0000 0.7508  4 In 2.94
Cl 0.0000 0.0000 0.5000  4 Li 2.94
Cl 0.5000 0.5000 0.0000  4 Li 2.94

- SG: Immm (71)
- D(E_F): 0.30 states/eV/atom

---

Arrangement iv

## LiIn2Cl (PBE)

Data for a geometry-optimized LiIn2Cl structure.

abc: 3.3131 3.3135 10.2391
angles: 90.00 99.26 90.00
Closest atoms and distances in Å follow each position.
Fractional positions:
Li 0.0000 0.0000 0.0000  4 Cl 2.34
In 0.3272 0.5000 0.6235  8 In 3.31-3.40
In 0.7062 0.0000 0.3797  8 In 3.31-3.40
Cl 0.4983 0.5000 0.9968  4 Li 2.34

- SG: Pm (6)
- D(E_F): 0.22 states/eV/atom

---

Which is most stable? The ranking, best first, is arrangement iv, arrangement iii, arrangement ii, arrangement i.

---

Arrangement i

## LiIn2Cl (PBE)

Data for a geometry-optimized LiIn2Cl structure.

abc: 3.5358 3.5358 29.0374
angles: 90.00 90.00 120.00
Closest atoms and distances in Å follow each position.
Fractional positions:
Li 0.0000 0.0000 0.0000  3 Cl 2.24
Li 0.3333 0.6667 0.6667  3 Cl 2.24
Li 0.6667 0.3333 0.3333  3 Cl 2.24
In 0.0000 0.0000 0.5247  9 In 3.26-3.54
In 0.0000 0.0000 0.7703  9 In 3.26-3.54, 3 Li 3.64
In 0.3333 0.6667 0.1914  9 In 3.26-3.54
In 0.3333 0.6667 0.4370  9 In 3.26-3.54, 3 Li 3.64
In 0.6667 0.3333 0.1036  9 In 3.26-3.54, 3 Li 3.64
In 0.6667 0.3333 0.8581  9 In 3.26-3.54
Cl 0.0000 0.0000 0.3018  3 Li 2.24
Cl 0.3333 0.6667 0.9685  3 Li 2.24
Cl 0.6667 0.3333 0.6352  3 Li 2.24

- SG: R3m (160)
- D(E_F): 0.25 states/eV/atom

---

Arrangement ii

## LiIn2Cl (PBE)

Data for a geometry-optimized LiIn2Cl structure.

abc: 5.4453 5.4453 3.2733
angles: 90.00 90.00 90.00
Closest atoms and distances in Å follow each position.
Fractional positions:
Li 0.0000 0.0000 0.0000  8 In 3.18, 2 Li 3.27
In 0.0000 0.5000 0.5000  4 Cl 3.18, 4 Li 3.18, 2 In 3.27
In 0.5000 0.0000 0.5000  4 Cl 3.18, 4 Li 3.18, 2 In 3.27
Cl 0.5000 0.5000 0.0000  8 In 3.18, 2 Cl 3.27

- SG: P4/mmm (123)
- D(E_F): 0.28 states/eV/atom

---

Which is most stable? The ranking, best first, is arrangement i, arrangement ii.

---

Arrangement i

## LiIn2Cl (PBE)

Data for a geometry-optimized LiIn2Cl structure.

abc: 7.5262 7.5262 7.5262
angles: 90.00 90.00 90.00
Closest atoms and distances in Å follow each position.
Fractional positions:
Li 0.0000 0.0000 0.0000  8 In 3.26
Li 0.0000 0.5000 0.5000  8 In 3.26
Li 0.5000 0.0000 0.5000  8 In 3.26
Li 0.5000 0.5000 0.0000  8 In 3.26
In 0.2500 0.2500 0.2500  4 Cl 3.26, 4 Li 3.26
In 0.2500 0.2500 0.7500  4 Cl 3.26, 4 Li 3.26
In 0.2500 0.7500 0.2500  4 Cl 3.26, 4 Li 3.26
In 0.2500 0.7500 0.7500  4 Cl 3.26, 4 Li 3.26
In 0.7500 0.2500 0.2500  4 Cl 3.26, 4 Li 3.26
In 0.7500 0.2500 0.7500  4 Cl 3.26, 4 Li 3.26
In 0.7500 0.7500 0.2500  4 Cl 3.26, 4 Li 3.26
In 0.7500 0.7500 0.7500  4 Cl 3.26, 4 Li 3.26
Cl 0.0000 0.0000 0.5000  8 In 3.26
Cl 0.0000 0.5000 0.0000  8 In 3.26
Cl 0.5000 0.0000 0.0000  8 In 3.26
Cl 0.5000 0.5000 0.5000  8 In 3.26

- SG: Fm-3m (225)
- D(E_F): 0.50 states/eV/atom

---

Arrangement ii

## LiIn2Cl (PBE)

Data for a geometry-optimized LiIn2Cl structure.

abc: 3.7969 4.6723 5.8213
angles: 90.00 90.00 90.00
Closest atoms and distances in Å follow each position.
Fractional positions:
Li 0.0000 0.0000 0.0000  2 Cl 2.91
In 0.5000 0.5000 0.2491  2 In 2.90-2.92
In 0.5000 0.5000 0.7509  2 In 2.90-2.92
Cl 0.0000 0.0000 0.5000  2 Li 2.91

- SG: Pmmm (47)
- D(E_F): 0.33 states/eV/atom

---

Which is most stable? The ranking, best first, is arrangement ii, arrangement i.